CaGeICl2: optimized geometry, PBE.

The total energy comes out at -2.357 eV/atom. For the density of states at the Fermi level, the calculation gives 5.5 states/eV per cell.

The structure belongs to space group P4/mmm (No. 123); the cell edges are 5.619, 5.619 and 5.635 Å and the angles 90.00°, 90.00° and 90.00°. The distinct sites, in fractional coordinates, are Ca at (0.000, 0.000, 0.000), Ge at (0.500, 0.500, 0.000), I at (0.500, 0.500, 0.500) and Cl at (0.000, 0.500, 0.500).